# 1
A relaxed Li2TmCl6 crystal. Source: Alexandria via LeMat-Bulk, functional GGA-PBE.

Cell and atoms, written as POSCAR:
```
Li2TmCl6
1.0
-3.090 2.286 -1.262
-4.133 0.898 5.259
1.556 8.590 5.261
Li Cl Tm
2 6 1
Cartesian
-2.431 8.328 8.065
-3.236 3.444 1.193
-2.710 5.167 3.025
-2.220 1.303 1.311
-6.002 5.207 4.672
0.335 6.566 4.586
-3.447 10.470 7.947
-2.957 6.606 6.233
-1.288 4.744 5.260
```

Results
**Formation energy without anion corrections**: -1662 meV/atom
**Space group**: No. 12

=====

# 2
A relaxed FeTeMoH crystal. Source: Alexandria via LeMat-Bulk, functional GGA-PBE.

Cell and atoms, written as POSCAR:
```
FeTeMoH
1.0
3.872 0.015 0.000
-1.903 3.375 -0.002
-0.201 -2.147 4.801
H Fe Te Mo
1 1 1 1
Cartesian
-0.733 -0.503 4.423
-0.115 -0.867 2.987
1.800 0.286 1.721
-0.146 1.419 3.785
```

Results
**Space group**: No. 8
**Relative energy among the computed polymorphs**: 0 meV per atom

=====

# 3
A relaxed TaAlZn2 crystal. Source: Alexandria via LeMat-Bulk, functional GGA-PBE.

Cell and atoms, written as POSCAR:
```
TaAlZn2
1.0
2.813 0.067 0.000
-0.064 2.813 0.000
0.000 0.000 8.054
Zn Ta Al
2 1 1
Cartesian
1.375 1.440 1.984
0.000 0.000 0.066
1.375 1.440 6.037
0.000 0.000 3.993
```

Results
**Space group**: No. 99
**Energy relative to the elements**: -17 meV/atom

=====

# 4
A relaxed CaSi2Rh crystal. Source: Alexandria via LeMat-Bulk, functional GGA-PBE.

Cell and atoms, written as POSCAR:
```
CaSi2Rh
1.0
4.743 0.000 0.000
0.000 4.743 0.000
2.371 2.371 7.961
Rh Si Ca
2 4 2
Cartesian
4.743 2.371 3.981
0.000 0.000 0.000
4.739 1.186 1.990
5.929 2.367 5.971
4.747 3.557 1.990
3.557 2.375 5.971
2.371 2.371 0.000
2.371 4.743 3.981
```

Results
**Formation energy without anion corrections**: -429 meV/atom
**Space group**: No. 141

=====

no.,DFT total energy (eV for the cell shown),Fermi-level density of states (states/eV/atom)
1,-34.3,0.256
2,-25.0,0.836
3,-18.2,0.393
4,-43.8,0.446